No. 1
## EuMgAl2 (PBE)

Data for crystalline EuMgAl2 at its relaxed geometry.

Computed properties:
DOS(E_F): 1.24 states/eV/f.u.
E: -80.07 eV for the cell shown

```
data_EuMgAl2
_chemical_formula_sum 'Eu4 Mg4 Al8'
_symmetry_space_group_name_H-M 'F m -3 m'
_symmetry_Int_Tables_number 225
_symmetry_space_group_name_Hall '-F 4 2 3'
_cell_length_a 7.109
_cell_length_b 7.109
_cell_length_c 7.109
_cell_angle_alpha 90.00
_cell_angle_beta 90.00
_cell_angle_gamma 90.00
loop_
_atom_site_label
_atom_site_fract_x
_atom_site_fract_y
_atom_site_fract_z
Eu1 0.000 0.000 0.000
Mg1 0.000 0.000 0.500
Al1 0.250 0.250 0.250
```

---

No. 2
## Sm3P4Pd2 (PBE)

Data for crystalline Sm3P4Pd2 at its relaxed geometry.

Computed properties:
DOS(E_F): 2.10 states/eV/f.u.
E: -113.10 eV for the cell shown

```
data_Sm3P4Pd2
_chemical_formula_sum 'Sm6 P8 Pd4'
_symmetry_space_group_name_H-M 'C 1 2/m 1'
_symmetry_Int_Tables_number 12
_symmetry_space_group_name_Hall '-C 2y'
_cell_length_a 12.909
_cell_length_b 4.030
_cell_length_c 8.174
_cell_angle_alpha 90.00
_cell_angle_beta 117.48
_cell_angle_gamma 90.00
loop_
_atom_site_label
_atom_site_fract_x
_atom_site_fract_y
_atom_site_fract_z
Sm1 0.000 0.000 0.000
Sm2 0.154 0.500 0.750
P1 0.042 0.000 0.405
P2 0.174 0.500 0.108
Pd1 0.128 0.500 0.361
```